#P
A plane-wave DFT calculation with PBEsol was carried out for a relaxed structure of ZnRe2Sb.

abc: 3.408 4.519 4.825
angles: 90.00 97.48 90.00
Element x y z (fractional)
Zn: 0.000 0.000 0.000
Re: 0.312 0.500 0.182
Re: 0.688 0.500 0.818
Sb: 0.500 0.000 0.500



#Q
A plane-wave DFT calculation with PBEsol was carried out for a relaxed structure of ZnRe2Sb.

abc: 4.852 4.852 4.852
angles: 131.57 131.57 70.91
Element x y z (fractional)
Zn: 0.000 0.000 0.000
Re: 0.500 0.500 0.000
Re: 0.750 0.250 0.500
Sb: 0.250 0.750 0.500



Quick one: most stable of them? #Q



#P
A plane-wave DFT calculation with PBEsol was carried out for a relaxed structure of ZrReSb2.

abc: 6.550 6.550 6.550
angles: 151.01 142.45 48.13
Element x y z (fractional)
Zr: 0.000 0.000 0.000
Re: 0.223 0.723 0.500
Sb: 0.402 0.402 0.000
Sb: 0.667 0.167 0.500



#Q
A plane-wave DFT calculation with PBEsol was carried out for a relaxed structure of ZrReSb2.

abc: 10.161 10.161 10.161
angles: 156.05 156.05 34.13
Element x y z (fractional)
Zr: 0.000 0.000 0.000
Zr: 0.750 0.250 0.500
Re: 0.250 0.750 0.500
Re: 0.500 0.500 0.000
Sb: 0.140 0.625 0.015
Sb: 0.375 0.390 0.515
Sb: 0.610 0.125 0.985
Sb: 0.875 0.860 0.485



Quick one: most stable of them? #P